1.
An optimized crystal structure of AcZnAu2, computed with PBE.

## Properties
The electronic total energy comes out at -14.493 eV for the cell shown. The value obtained for the density of states at the Fermi level is 1.42 states/eV/cell. As for the relative energy among the computed polymorphs: 0.025 eV per formula unit. Its calculated volume is 24.22 Å³/atom. Its formation energy is -62 kJ/mol of atoms.

abc: 4.6480 4.6480 5.8325
angles: 66.52 66.52 60.00
Fractional coordinates of all 4 atoms:
Ac  0.0000  0.0000  0.0000
Au  0.7867  0.7867  0.6399
Au  0.2133  0.2133  0.3601
Zn  0.5000  0.5000  0.5000

***

2.
An optimized crystal structure of Ac5Zn4Au, computed with PBE.

## Properties
The electronic total energy comes out at -32.471 eV for the cell shown. The value obtained for the density of states at the Fermi level is 9.11 states/eV/cell. Its calculated volume is 29.92 Å³/atom. Its formation energy is -34 kJ/mol of atoms.

abc: 3.9272 3.9272 19.4027
angles: 90.00 90.00 90.00
Fractional coordinates of all 10 atoms:
Ac  0.5000  0.5000  0.0991
Ac  0.5000  0.5000  0.2990
Ac  0.5000  0.5000  0.5000
Ac  0.5000  0.5000  0.7010
Ac  0.5000  0.5000  0.9009
Zn  0.0000  0.0000  0.2027
Zn  0.0000  0.0000  0.3995
Zn  0.0000  0.0000  0.6005
Zn  0.0000  0.0000  0.7973
Au  0.0000  0.0000  0.0000

***

3.
An optimized crystal structure of Ac5ZnAu2, computed with PBE.

## Properties
The electronic total energy comes out at -63.252 eV for the cell shown. The value obtained for the density of states at the Fermi level is 23.82 states/eV/cell. Its calculated volume is 34.08 Å³/atom. Its formation energy is -39 kJ/mol of atoms.

abc: 8.1483 8.1483 10.0329
angles: 113.96 113.96 90.00
Fractional coordinates of all 16 atoms:
Ac  0.5156  0.6860  0.7016
Ac  0.8140  0.9844  0.2984
Ac  0.0000  0.0000  0.0000
Ac  0.5000  0.5000  0.0000
Ac  0.1860  0.0156  0.7016
Ac  0.6860  0.1860  0.7016
Ac  0.0156  0.5156  0.7016
Ac  0.3140  0.8140  0.2984
Ac  0.9844  0.4844  0.2984
Ac  0.4844  0.3140  0.2984
Zn  0.7500  0.7500  0.5000
Zn  0.2500  0.2500  0.5000
Au  0.1301  0.3699  0.0000
Au  0.6301  0.1301  0.0000
Au  0.3699  0.8699  0.0000
Au  0.8699  0.6301  0.0000

***

4.
An optimized crystal structure of AcZnAu4, computed with PBE.

## Properties
The electronic total energy comes out at -18.587 eV for the cell shown. The value obtained for the density of states at the Fermi level is 3.44 states/eV/cell. As for the relative energy among the computed polymorphs: 2.369 eV per formula unit. Its calculated volume is 27.87 Å³/atom. Its formation energy is -2 kJ/mol of atoms.

abc: 4.7356 4.7356 7.4558
angles: 90.00 90.00 90.00
Fractional coordinates of all 6 atoms:
Ac  0.0000  0.0000  0.0000
Zn  0.5000  0.5000  0.5000
Au  0.5000  0.5000  0.8258
Au  0.5000  0.5000  0.1742
Au  0.5000  0.0000  0.5000
Au  0.0000  0.5000  0.5000

***

Which of these has the lowest electronic total energy?
Ac5ZnAu2

***

Which value of electronic total energy does entry 2 give?
-32.471 eV for the cell shown